Entry 1:
DFT (PBE) results for crystalline Ir2OsRh6 at its relaxed geometry.

Output
For the spin magnetization, the calculation gives 0.00 Bohr magnetons per cell. For the calculated volume, the calculation gives 14.951 A^3/atom. Its symmetry is C2/m, No. 12. The formation energy comes out at 0.22 eV per atom.

Lattice parameters (Å, degrees): 4.449 4.533 8.156 107.46 90.00 119.39
Fractional positions:
Rh: 0.311 0.621 0.769
Rh: 0.689 0.379 0.231
Rh: 0.003 0.006 0.823
Rh: 0.312 0.624 0.437
Rh: 0.997 0.994 0.177
Rh: 0.688 0.376 0.563
Os: 0.000 0.000 0.500
Ir: 0.298 0.596 0.100
Ir: 0.702 0.404 0.900

Entry 2:
DFT (PBE) results for crystalline Ir3Os2Rh3 at its relaxed geometry.

Output
For the spin magnetization, the calculation gives 0.00 Bohr magnetons per cell. For the calculated volume, the calculation gives 14.851 A^3/atom. Its symmetry is R32, No. 155. The formation energy comes out at 0.27 eV per atom.

Lattice parameters (Å, degrees): 4.930 4.930 4.930 85.78 85.78 94.22
Fractional positions:
Ir: 0.799 0.500 0.799
Ir: 0.500 0.201 0.201
Ir: 0.201 0.799 0.500
Os: 0.719 0.719 0.281
Os: 0.281 0.281 0.719
Rh: 0.271 0.729 0.000
Rh: 0.000 0.271 0.271
Rh: 0.729 0.000 0.729

Entry 3:
DFT (PBE) results for crystalline Ir3Os2Rh8 at its relaxed geometry.

Output
For the spin magnetization, the calculation gives 0.00 Bohr magnetons per cell. For the calculated volume, the calculation gives 15.580 A^3/atom. Its symmetry is C2/m, No. 12. The formation energy comes out at 0.37 eV per atom.

Lattice parameters (Å, degrees): 5.350 6.428 6.428 67.94 97.21 97.21
Fractional positions:
Ir: 0.000 0.819 0.181
Ir: 0.500 0.000 0.000
Ir: 0.000 0.181 0.819
Rh: 0.440 0.819 0.438
Rh: 0.560 0.562 0.181
Rh: 0.163 0.424 0.424
Rh: 0.560 0.181 0.562
Rh: 0.195 0.789 0.789
Rh: 0.837 0.576 0.576
Rh: 0.805 0.211 0.211
Rh: 0.440 0.438 0.819
Os: 0.743 0.801 0.801
Os: 0.257 0.199 0.199

Entry 4:
DFT (PBE) results for crystalline Ir6Os5Rh at its relaxed geometry.

Output
For the spin magnetization, the calculation gives 0.00 Bohr magnetons per cell. For the calculated volume, the calculation gives 15.235 A^3/atom. Its symmetry is P6_3/mcm, No. 193. The formation energy comes out at 0.43 eV per atom.

Lattice parameters (Å, degrees): 7.299 7.299 7.926 90.00 90.00 120.00
Fractional positions:
Os: 0.630 0.630 0.250
Os: 0.000 0.630 0.750
Os: 0.370 0.000 0.250
Os: 0.667 0.333 0.500
Os: 0.000 0.370 0.250
Os: 0.667 0.333 0.000
Os: 0.333 0.667 0.500
Os: 0.630 0.000 0.750
Os: 0.333 0.667 0.000
Os: 0.370 0.370 0.750
Ir: 0.695 0.695 0.587
Ir: 0.695 0.000 0.087
Ir: 0.000 0.695 0.087
Ir: 0.000 0.305 0.913
Ir: 0.305 0.305 0.087
Ir: 0.305 0.000 0.913
Ir: 0.305 0.000 0.587
Ir: 0.305 0.305 0.413
Ir: 0.000 0.305 0.587
Ir: 0.695 0.000 0.413
Ir: 0.000 0.695 0.413
Ir: 0.695 0.695 0.913
Rh: 0.000 0.000 0.750
Rh: 0.000 0.000 0.250

Entry 5:
DFT (PBE) results for crystalline Ir2OsRh at its relaxed geometry.

Output
For the spin magnetization, the calculation gives 0.00 Bohr magnetons per cell. For the calculated volume, the calculation gives 14.372 A^3/atom. Its symmetry is Pmmm, No. 47. The formation energy comes out at 0.00 eV per atom.

Lattice parameters (Å, degrees): 2.733 3.854 5.458 90.00 90.00 90.00
Fractional positions:
Os: 0.500 0.500 0.250
Ir: 0.000 0.000 0.004
Ir: 0.000 0.000 0.496
Rh: 0.500 0.500 0.750

Entry 6:
DFT (PBE) results for crystalline IrOsRh2 at its relaxed geometry.

Output
For the spin magnetization, the calculation gives 0.00 Bohr magnetons per cell. For the calculated volume, the calculation gives 14.275 A^3/atom. Its symmetry is Pmmm, No. 47. The formation energy comes out at 0.05 eV per atom.

Lattice parameters (Å, degrees): 2.715 3.879 5.421 90.00 90.00 90.00
Fractional positions:
Rh: 0.000 0.000 0.996
Rh: 0.000 0.000 0.504
Os: 0.500 0.500 0.750
Ir: 0.500 0.500 0.250

Entry 7:
DFT (PBE) results for crystalline Ir3Os2Rh4 at its relaxed geometry.

Output
For the spin magnetization, the calculation gives 0.00 Bohr magnetons per cell. For the calculated volume, the calculation gives 14.329 A^3/atom. Its symmetry is P-1, No. 2. The formation energy comes out at 0.02 eV per atom.

Lattice parameters (Å, degrees): 4.764 6.994 8.511 72.11 73.77 90.05
Fractional positions:
Os: 0.831 0.417 0.165
Os: 0.393 0.137 0.389
Os: 0.169 0.583 0.835
Os: 0.607 0.863 0.611
Rh: 0.279 0.524 0.280
Rh: 0.501 0.081 0.835
Rh: 0.499 0.919 0.165
Rh: 0.721 0.476 0.720
Rh: 0.165 0.749 0.502
Rh: 0.052 0.801 0.059
Rh: 0.948 0.199 0.941
Rh: 0.835 0.251 0.498
Ir: 0.944 0.028 0.281
Ir: 0.723 0.640 0.387
Ir: 0.617 0.695 0.941
Ir: 0.056 0.972 0.719
Ir: 0.383 0.305 0.059
Ir: 0.277 0.360 0.613

Entry 8:
DFT (PBE) results for crystalline Ir2OsRh at its relaxed geometry.

Output
For the spin magnetization, the calculation gives 0.00 Bohr magnetons per cell. For the calculated volume, the calculation gives 14.371 A^3/atom. Its symmetry is P4/mmm, No. 123. The formation energy comes out at 0.05 eV per atom.

Lattice parameters (Å, degrees): 3.867 3.867 3.844 90.00 90.00 90.00
Fractional positions:
Rh: 0.000 0.500 0.500
Ir: 0.500 0.500 0.000
Ir: 0.000 0.000 0.000
Os: 0.500 0.000 0.500

Entry 9:
DFT (PBE) results for crystalline IrOs2Rh at its relaxed geometry.

Output
For the spin magnetization, the calculation gives 0.00 Bohr magnetons per cell. For the calculated volume, the calculation gives 14.326 A^3/atom. Its symmetry is Pmm2, No. 25. The formation energy comes out at 0.05 eV per atom.

Lattice parameters (Å, degrees): 2.727 3.854 5.452 90.00 90.00 90.00
Fractional positions:
Ir: 0.500 0.500 0.752
Rh: 0.000 0.000 0.499
Os: 0.500 0.500 0.246
Os: 0.000 0.000 0.004

Entry 10:
DFT (PBE) results for crystalline Ir4OsRh3 at its relaxed geometry.

Output
For the spin magnetization, the calculation gives 0.00 Bohr magnetons per cell. For the calculated volume, the calculation gives 14.352 A^3/atom. Its symmetry is C2/m, No. 12. The formation energy comes out at 0.00 eV per atom.

Lattice parameters (Å, degrees): 3.858 4.726 7.215 90.03 74.49 65.91
Fractional positions:
Rh: 0.500 0.500 0.500
Rh: 0.254 0.245 0.247
Rh: 0.746 0.755 0.753
Ir: 0.375 0.374 0.877
Ir: 0.876 0.876 0.373
Ir: 0.625 0.626 0.123
Ir: 0.124 0.124 0.627
Os: 0.000 0.000 0.000

Entry 11:
DFT (PBE) results for crystalline IrOsRh6 at its relaxed geometry.

Output
For the spin magnetization, the calculation gives 0.00 Bohr magnetons per cell. For the calculated volume, the calculation gives 14.211 A^3/atom. Its symmetry is P4/mmm, No. 123. The formation energy comes out at 0.04 eV per atom.

Lattice parameters (Å, degrees): 3.845 3.845 7.690 90.00 90.00 90.00
Fractional positions:
Rh: 0.000 0.500 0.747
Rh: 0.500 0.000 0.253
Rh: 0.500 0.500 0.500
Rh: 0.500 0.500 0.000
Rh: 0.000 0.500 0.253
Rh: 0.500 0.000 0.747
Os: 0.000 0.000 0.500
Ir: 0.000 0.000 0.000

Entry 12:
DFT (PBE) results for crystalline Ir3Os3Rh at its relaxed geometry.

Output
For the spin magnetization, the calculation gives 0.00 Bohr magnetons per cell. For the calculated volume, the calculation gives 23.976 A^3/atom. Its symmetry is P6_3/m, No. 176. The formation energy comes out at 1.09 eV per atom.

Lattice parameters (Å, degrees): 3.628 10.336 10.336 120.00 90.00 90.00
Fractional positions:
Rh: 0.750 0.333 0.667
Rh: 0.250 0.667 0.333
Os: 0.250 0.422 0.088
Os: 0.750 0.578 0.912
Os: 0.250 0.665 0.578
Os: 0.750 0.335 0.422
Os: 0.250 0.912 0.335
Os: 0.750 0.088 0.665
Ir: 0.750 0.332 0.915
Ir: 0.750 0.584 0.668
Ir: 0.250 0.416 0.332
Ir: 0.250 0.668 0.085
Ir: 0.750 0.085 0.416
Ir: 0.250 0.915 0.584

Entry 13:
DFT (PBE) results for crystalline IrOs3Rh3 at its relaxed geometry.

Output
For the spin magnetization, the calculation gives 0.00 Bohr magnetons per cell. For the calculated volume, the calculation gives 14.292 A^3/atom. Its symmetry is P6_3/m, No. 176. The formation energy comes out at 0.02 eV per atom.

Lattice parameters (Å, degrees): 4.362 7.278 7.278 120.00 90.00 90.00
Fractional positions:
Ir: 0.250 0.333 0.667
Ir: 0.750 0.667 0.333
Rh: 0.250 0.197 0.239
Rh: 0.250 0.761 0.958
Rh: 0.750 0.958 0.197
Rh: 0.750 0.803 0.761
Rh: 0.750 0.239 0.042
Rh: 0.250 0.042 0.803
Os: 0.750 0.097 0.614
Os: 0.750 0.518 0.903
Os: 0.250 0.903 0.386
Os: 0.250 0.482 0.097
Os: 0.750 0.386 0.482
Os: 0.250 0.614 0.518

Entry 14:
DFT (PBE) results for crystalline Ir3Os2Rh2 at its relaxed geometry.

Output
For the spin magnetization, the calculation gives 0.00 Bohr magnetons per cell. For the calculated volume, the calculation gives 15.582 A^3/atom. Its symmetry is C2/m, No. 12. The formation energy comes out at 0.38 eV per atom.

Lattice parameters (Å, degrees): 3.784 7.918 3.874 75.85 90.02 103.88
Fractional positions:
Os: 0.379 0.756 0.122
Os: 0.621 0.244 0.878
Ir: 0.254 0.508 0.746
Ir: 0.000 0.000 0.000
Ir: 0.746 0.492 0.254
Rh: 0.882 0.764 0.618
Rh: 0.118 0.236 0.382

Entry 15:
DFT (PBE) results for crystalline IrOsRh2 at its relaxed geometry.

Output
For the spin magnetization, the calculation gives 0.00 Bohr magnetons per cell. For the calculated volume, the calculation gives 14.705 A^3/atom. Its symmetry is C2/m, No. 12. The formation energy comes out at 0.35 eV per atom.

Lattice parameters (Å, degrees): 5.415 5.415 2.687 75.54 75.54 120.31
Fractional positions:
Os: 0.000 0.000 0.500
Ir: 0.500 0.500 0.500
Rh: 0.500 0.000 0.000
Rh: 0.000 0.500 0.000

Entry 16:
DFT (PBE) results for crystalline Ir2OsRh at its relaxed geometry.

Output
For the spin magnetization, the calculation gives 0.00 Bohr magnetons per cell. For the calculated volume, the calculation gives 14.366 A^3/atom. Its symmetry is I-4m2, No. 119. The formation energy comes out at 0.04 eV per atom.

Lattice parameters (Å, degrees): 4.735 4.735 4.735 132.00 132.00 70.23
Fractional positions:
Os: 0.500 0.500 0.000
Rh: 0.250 0.750 0.500
Ir: 0.000 0.000 0.000
Ir: 0.750 0.250 0.500

Entry 17:
DFT (PBE) results for crystalline IrOsRh2 at its relaxed geometry.

Output
For the spin magnetization, the calculation gives 0.00 Bohr magnetons per cell. For the calculated volume, the calculation gives 14.277 A^3/atom. Its symmetry is P4/mmm, No. 123. The formation energy comes out at 0.07 eV per atom.

Lattice parameters (Å, degrees): 3.839 3.838 3.876 90.00 90.00 90.00
Fractional positions:
Rh: 0.000 0.000 0.000
Rh: 0.500 0.500 0.000
Os: 0.000 0.500 0.500
Ir: 0.500 0.000 0.500

Entry 18:
DFT (PBE) results for crystalline Ir2OsRh at its relaxed geometry.

Output
For the spin magnetization, the calculation gives 0.00 Bohr magnetons per cell. For the calculated volume, the calculation gives 21.425 A^3/atom. Its symmetry is I-42d, No. 122. The formation energy comes out at 1.05 eV per atom.

Lattice parameters (Å, degrees): 5.605 5.605 6.743 65.44 65.44 90.00
Fractional positions:
Ir: 0.375 0.368 0.750
Ir: 0.632 0.125 0.250
Ir: 0.875 0.882 0.750
Ir: 0.118 0.625 0.250
Rh: 0.500 0.500 0.000
Rh: 0.250 0.750 0.500
Os: 0.000 0.000 0.000
Os: 0.750 0.250 0.500

Entry 19:
DFT (PBE) results for crystalline IrOs2Rh4 at its relaxed geometry.

Output
For the spin magnetization, the calculation gives 0.00 Bohr magnetons per cell. For the calculated volume, the calculation gives 19.488 A^3/atom. Its symmetry is R-3m, No. 166. The formation energy comes out at 0.98 eV per atom.

Lattice parameters (Å, degrees): 3.830 3.830 10.962 79.94 79.94 60.00
Fractional positions:
Os: 0.775 0.775 0.674
Os: 0.225 0.225 0.326
Rh: 0.704 0.704 0.889
Rh: 0.861 0.861 0.417
Rh: 0.296 0.296 0.111
Rh: 0.139 0.139 0.583
Ir: 0.000 0.000 0.000

Entry 20:
DFT (PBE) results for crystalline Ir3Os2Rh at its relaxed geometry.

Output
For the spin magnetization, the calculation gives 0.00 Bohr magnetons per cell. For the calculated volume, the calculation gives 14.417 A^3/atom. Its symmetry is Cmcm, No. 63. The formation energy comes out at 0.02 eV per atom.

Lattice parameters (Å, degrees): 2.741 7.244 8.873 90.00 90.00 100.91
Fractional positions:
Ir: 0.110 0.219 0.750
Ir: 0.336 0.673 0.499
Ir: 0.664 0.327 0.501
Ir: 0.336 0.673 0.001
Ir: 0.664 0.327 0.999
Ir: 0.890 0.781 0.250
Os: 0.556 0.113 0.250
Os: 0.000 0.000 0.500
Os: 0.444 0.887 0.750
Os: 0.000 0.000 0.000
Rh: 0.220 0.440 0.250
Rh: 0.780 0.560 0.750

Entry 21:
DFT (PBE) results for crystalline Ir2Os3Rh at its relaxed geometry.

Output
For the spin magnetization, the calculation gives 0.00 Bohr magnetons per cell. For the calculated volume, the calculation gives 15.010 A^3/atom. Its symmetry is Cmmm, No. 65. The formation energy comes out at 0.44 eV per atom.

Lattice parameters (Å, degrees): 5.400 4.556 7.668 107.28 90.00 90.00
Fractional positions:
Ir: 0.250 0.652 0.304
Ir: 0.750 0.348 0.696
Ir: 0.250 0.348 0.696
Ir: 0.750 0.652 0.304
Os: 0.000 0.500 0.000
Os: 0.500 0.500 0.000
Os: 0.500 0.188 0.377
Os: 0.000 0.188 0.377
Os: 0.500 0.812 0.623
Os: 0.000 0.812 0.623
Rh: 0.750 0.000 0.000
Rh: 0.250 0.000 0.000

Entry 22:
DFT (PBE) results for crystalline Ir5Os2Rh4 at its relaxed geometry.

Output
For the spin magnetization, the calculation gives 0.00 Bohr magnetons per cell. For the calculated volume, the calculation gives 14.355 A^3/atom. Its symmetry is P-1, No. 2. The formation energy comes out at 0.00 eV per atom.

Lattice parameters (Å, degrees): 4.725 4.723 8.184 118.75 95.50 80.46
Fractional positions:
Rh: 0.958 0.179 0.908
Rh: 0.042 0.821 0.092
Rh: 0.410 0.362 0.817
Rh: 0.590 0.638 0.183
Ir: 0.225 0.096 0.457
Ir: 0.862 0.548 0.725
Ir: 0.500 0.000 0.000
Ir: 0.138 0.452 0.275
Ir: 0.775 0.904 0.543
Os: 0.678 0.278 0.367
Os: 0.322 0.722 0.633

Entry 23:
DFT (PBE) results for crystalline IrOs2Rh at its relaxed geometry.

Output
For the spin magnetization, the calculation gives 1.33 Bohr magnetons per cell. For the calculated volume, the calculation gives 14.812 A^3/atom. Its symmetry is F-43m, No. 216. The formation energy comes out at 0.65 eV per atom.

Lattice parameters (Å, degrees): 4.376 4.376 4.376 60.00 60.00 60.00
Each line ends with the local moment (μB).
Fractional positions:
Rh: 0.250 0.250 0.250  0.17
Os: 0.750 0.750 0.750  0.69
Os: 0.000 0.000 0.000  0.30
Ir: 0.500 0.500 0.500  0.15